VASP calculation (PBE) on crystalline ZrMnAs2Ir at its relaxed geometry.

Structure (POSCAR):
```
ZrMnAs2Ir
1.0
4.779 0.000 0.000
0.000 4.779 0.000
0.000 0.000 4.741
Zr Mn As Ir
1 1 2 1
Direct
0.000 0.000 0.000
0.500 0.500 0.000
0.000 0.500 0.500
0.500 0.000 0.500
0.500 0.500 0.500
```

The value obtained for the relative energy among the computed polymorphs is 0 meV per atom. The space group is P4/mmm (123). The value obtained for the formation energy from the elements is 261 kJ/mol of formula units. The calculation puts the energy at -33.18 eV/f.u. The value obtained for the total magnetization is 3.20 μB per formula unit.